Cs2VInS4 | PBE | relaxed

Calculated values
VASP energy ... -4.7054 eV/atom
M_tot ... 4.0 μB per cell

Cell: 6.185 7.851 12.812 Å, 84.54 76.03 66.80°
Site moments in Bohr magnetons follow the coordinates.
Element x y z (fractional)
Cs 0.178 0.000 0.644  0.00
Cs 0.822 0.000 0.356  0.00
Cs 0.572 0.500 0.856  0.00
Cs 0.928 0.500 0.144  0.00
V 0.250 0.500 0.500  1.79
V 0.500 0.000 0.000  1.79
In 0.750 0.500 0.500  0.03
In 0.000 0.000 0.000  0.03
S 0.310 0.816 0.102  -0.02
S 0.228 0.184 0.898  -0.02
S 0.874 0.816 0.898  -0.02
S 0.588 0.184 0.102  -0.02
S 0.440 0.684 0.398  -0.02
S 0.522 0.316 0.602  -0.02
S 0.876 0.684 0.602  -0.02
S 0.162 0.316 0.398  -0.02

---

CsZn2InS4 | PBE | relaxed

Calculated values
VASP energy ... -3.4681 eV/atom
M_tot ... 0.0 μB per cell

Cell: 6.354 6.354 6.915 Å, 117.35 117.35 90.00°
Element x y z (fractional)
Cs 0.000 0.000 0.000
Zn 0.750 0.250 0.500
Zn 0.250 0.750 0.500
In 0.500 0.500 0.000
S 0.539 0.539 0.674
S 0.462 0.865 0.327
S 0.865 0.462 0.327
S 0.135 0.135 0.674

---

CsZnInS3 | PBE | relaxed

Calculated values
Density of states at the Fermi level ... 0.000 states/eV per cell
VASP energy ... -3.7237 eV/atom
M_tot ... 0.0 μB per cell

Cell: 3.884 9.332 10.012 Å, 110.58 90.00 90.00°
Element x y z (fractional)
Cs 0.250 0.213 0.246
Cs 0.750 0.787 0.754
Zn 0.250 0.088 0.608
Zn 0.750 0.912 0.392
In 0.250 0.658 0.119
In 0.750 0.342 0.881
S 0.750 0.858 0.145
S 0.250 0.142 0.855
S 0.250 0.814 0.466
S 0.750 0.186 0.534
S 0.750 0.481 0.155
S 0.250 0.519 0.845

---

Cs2ZrInS4 | PBE | relaxed

Calculated values
Density of states at the Fermi level ... 5.863 states/eV per cell
VASP energy ... -4.8161 eV/atom
M_tot ... 0.0 μB per cell

Cell: 6.821 8.128 12.898 Å, 83.63 74.67 65.19°
Element x y z (fractional)
Cs 0.180 0.000 0.641
Cs 0.820 0.000 0.359
Cs 0.570 0.500 0.859
Cs 0.930 0.500 0.141
Zr 0.750 0.500 0.500
Zr 0.000 0.000 0.000
In 0.250 0.500 0.500
In 0.500 0.000 0.000
S 0.267 0.815 0.104
S 0.186 0.185 0.896
S 0.918 0.815 0.896
S 0.630 0.185 0.104
S 0.483 0.685 0.396
S 0.564 0.315 0.604
S 0.832 0.685 0.604
S 0.120 0.315 0.396